Mn3VZn: relaxed, PBE.

Output
- SG: No. 221
- DFT formation energy: 1.1045 eV/atom
- E above lowest polymorph: 0.138 eV/atom

a = 4.523 Å, b = 4.523 Å, c = 4.523 Å
α = 90.00°, β = 90.00°, γ = 90.00°
Atoms (fractional coordinates):
Mn: 0.000 0.000 0.500
Mn: 0.000 0.500 0.000
Mn: 0.500 0.000 0.000
V: 0.500 0.500 0.500
Zn: 0.000 0.000 0.000

PaCdSb2O8: relaxed, PBE.

Output
- SG: No. 119
- ΔE_f (raw): -21.019 eV/f.u.

a = 6.217 Å, b = 6.217 Å, c = 6.217 Å
α = 108.35°, β = 108.35°, γ = 111.73°
Atoms (fractional coordinates):
Pa: 0.000 0.000 0.000
Cd: 0.750 0.250 0.500
Sb: 0.250 0.750 0.500
Sb: 0.500 0.500 0.000
O: 0.061 0.358 0.297
O: 0.061 0.764 0.703
O: 0.118 0.303 0.816
O: 0.236 0.939 0.297
O: 0.487 0.303 0.184
O: 0.642 0.939 0.703
O: 0.697 0.513 0.816
O: 0.697 0.882 0.184

Sr2LiTm: relaxed, PBE.

Output
- SG: No. 123
- DFT formation energy: 0.1767 eV/atom
- E above lowest polymorph: 0.000 eV/atom

a = 4.247 Å, b = 4.247 Å, c = 8.537 Å
α = 90.00°, β = 90.00°, γ = 90.00°
Atoms (fractional coordinates):
Sr: 0.000 0.000 0.241
Sr: 0.000 0.000 0.759
Li: 0.500 0.500 0.000
Tm: 0.500 0.500 0.500

Fe2CoAg: relaxed, PBE.

Output
- SG: No. 65
- DFT formation energy: 0.3223 eV/atom
- E above lowest polymorph: 0.117 eV/atom

a = 4.541 Å, b = 4.541 Å, c = 2.705 Å
α = 90.00°, β = 90.00°, γ = 108.68°
Atoms (fractional coordinates):
Fe: 0.000 0.500 0.000
Fe: 0.500 0.000 0.000
Co: 0.000 0.000 0.500
Ag: 0.500 0.500 0.500

La2Ho2In: relaxed, PBE.

Output
- SG: No. 12
- DFT formation energy: -0.1725 eV/atom
- E above lowest polymorph: 0.000 eV/atom

a = 6.642 Å, b = 6.642 Å, c = 8.873 Å
α = 131.05°, β = 131.05°, γ = 34.39°
Atoms (fractional coordinates):
La: 0.090 0.090 0.391
La: 0.910 0.910 0.609
Ho: 0.259 0.259 0.165
Ho: 0.741 0.741 0.835
In: 0.500 0.500 0.000

ZrAl2HgCl: relaxed, PBE.

Output
- SG: No. 123
- ΔE_f (raw): 2.112 eV/f.u.

a = 4.822 Å, b = 4.822 Å, c = 4.818 Å
α = 90.00°, β = 90.00°, γ = 90.00°
Atoms (fractional coordinates):
Zr: 0.000 0.000 0.000
Al: 0.000 0.500 0.500
Al: 0.500 0.000 0.500
Hg: 0.500 0.500 0.000
Cl: 0.000 0.000 0.500

CoIr2Pt: relaxed, PBE.

Output
- SG: No. 65
- DFT formation energy: 0.2402 eV/atom
- E above lowest polymorph: 0.235 eV/atom

a = 2.703 Å, b = 2.703 Å, c = 9.153 Å
α = 90.00°, β = 90.00°, γ = 119.98°
Atoms (fractional coordinates):
Co: 0.000 0.000 0.000
Ir: 0.500 0.500 0.233
Ir: 0.500 0.500 0.767
Pt: 0.000 0.000 0.500

CaBeCr2: relaxed, PBE.

Output
- SG: No. 119
- DFT formation energy: 0.6374 eV/atom

a = 4.540 Å, b = 4.540 Å, c = 4.540 Å
α = 120.21°, β = 120.21°, γ = 89.63°
Atoms (fractional coordinates):
Ca: 0.000 0.000 0.000
Be: 0.750 0.250 0.500
Cr: 0.250 0.750 0.500
Cr: 0.500 0.500 0.000